No. 1
4
Lattice="0.000 3.456 3.456 3.456 0.000 3.456 3.456 3.456 0.000" Properties=species:S:1:pos:R:3 comment="GGA-PBE TiCoBi2, relaxed" e_tot_ev_per_atom=-5.321 spacegroup="Fm-3m, No. 225" e_above_lowest_polymorph_ev_per_atom=0.000 e_form_ev_per_atom=0.37 magmom_total_mub_per_atom=0.396 pbc="T T T"
Ti 0.000 0.000 0.000
Co 3.456 3.456 3.456
Bi 1.728 1.728 1.728
Bi 5.185 5.185 5.185


No. 2
8
Lattice="0.000 6.066 6.389 1.349 0.000 6.389 1.349 6.066 0.000" Properties=species:S:1:pos:R:3 comment="GGA-PBE BeZn, relaxed" e_tot_ev_per_atom=-2.080 spacegroup="Fddd, No. 70" e_form_ev_per_atom=0.42 magmom_total_mub_per_atom=0.000 pbc="T T T"
Be 0.337 0.463 1.597
Be 0.337 2.570 1.597
Be 2.361 9.562 11.180
Be 2.361 11.669 11.180
Zn 1.012 4.550 0.472
Zn 1.686 7.583 3.666
Zn 1.012 4.550 9.111
Zn 1.686 7.583 12.305


No. 3
11
Lattice="9.435 0.000 0.000 -4.718 8.171 0.000 0.000 0.000 3.423" Properties=species:S:1:pos:R:3 comment="GGA-PBE Mg4Cd6Pb, relaxed" e_tot_ev_per_atom=-1.414 spacegroup="P-6m2, No. 187" e_form_ev_per_atom=0.00 magmom_total_mub_per_atom=0.000 pbc="T T T"
Mg 0.000 0.000 0.000
Mg -2.029 4.276 1.711
Mg 2.029 4.276 1.711
Mg 0.000 7.790 1.711
Cd 0.000 2.928 0.000
Cd -2.182 6.707 0.000
Cd 2.196 1.268 1.711
Cd 2.182 6.707 0.000
Cd 7.239 1.268 1.711
Cd 4.718 5.635 1.711
Pb 4.718 2.724 0.000


No. 4
4
Lattice="1.355 0.782 9.525 -1.355 0.782 9.525 0.000 -1.565 9.525" Properties=species:S:1:pos:R:3 comment="GGA-PBE BeSeF2, relaxed" e_form_raw_ev_per_atom=-2.02 e_tot_ev_per_atom=-4.759 spacegroup="R-3m, No. 166" e_above_lowest_polymorph_ev_per_atom=0.000 magmom_total_mub_per_atom=0.071 pbc="T T T"
Be 0.000 0.000 0.000
Se 0.000 0.000 14.288
F 0.000 0.000 10.409
F 0.000 0.000 18.168


Number 4 is which compound? BeSeF2